[1]
BePb3S | PBE | optimized geometry

Results
ΔE_f (raw) = 0.339 eV per atom
symmetry = Pm-3m (221)
calculated total energy = -3.457 eV per atom

Lattice parameters (Å, degrees): 5.0830 5.0830 5.0830 90.00 90.00 90.00
Atoms (fractional coordinates):
1 Pb 0.5000 0.0000 0.0000
2 Pb 0.0000 0.0000 0.5000
3 Pb 0.0000 0.5000 0.0000
4 S 0.5000 0.5000 0.5000
5 Be 0.0000 0.0000 0.0000

=====

[2]
CoGeRu3 | PBE | optimized geometry

Results
symmetry = Pm-3m (221)
formation energy = 1.342 eV/atom
calculated total energy = -6.568 eV per atom

Lattice parameters (Å, degrees): 4.4255 4.4255 4.4255 90.00 90.00 90.00
Site moments in Bohr magnetons follow the coordinates.
Atoms (fractional coordinates):
1 Ru 0.0000 0.0000 0.5000  1.32
2 Ru 0.5000 0.0000 0.0000  0.61
3 Ru 0.0000 0.5000 0.0000  0.94
4 Co 0.0000 0.0000 0.0000  1.33
5 Ge 0.5000 0.5000 0.5000  -0.04

=====

[3]
Rb2MgTl3Sn4 | PBE | optimized geometry

Results
symmetry = P-4m2 (115)
formation energy = -0.088 eV/atom
calculated total energy = -2.752 eV per atom

Lattice parameters (Å, degrees): 5.0504 5.0504 13.3041 90.00 90.00 90.00
Atoms (fractional coordinates):
1 Mg 0.5000 0.5000 0.5000
2 Rb 0.0000 0.5000 0.7461
3 Rb 0.5000 0.0000 0.2539
4 Sn 0.5000 0.5000 0.0000
5 Sn 0.0000 0.0000 0.0000
6 Sn 0.0000 0.5000 0.3736
7 Sn 0.5000 0.0000 0.6264
8 Tl 0.0000 0.5000 0.1426
9 Tl 0.0000 0.0000 0.5000
10 Tl 0.5000 0.0000 0.8574

=====

[4]
CsZn2GeRu | PBE | optimized geometry

Results
symmetry = P4/mmm (123)
formation energy = -0.021 eV/atom
calculated total energy = -3.480 eV per atom

Lattice parameters (Å, degrees): 5.1004 5.1004 4.7618 90.00 90.00 90.00
Atoms (fractional coordinates):
1 Cs 0.5000 0.5000 0.5000
2 Ru 0.0000 0.0000 0.0000
3 Zn 0.0000 0.5000 0.0000
4 Zn 0.5000 0.0000 0.0000
5 Ge 0.0000 0.0000 0.5000

=====

What is the calculated total energy in the fourth record?
-3.480 eV per atom